No. 1
The following is a DFT calculation (PBE) of a geometry-optimized LiCd3I structure.

Cell: 5.365 5.365 5.365 Å, 90.00 90.00 90.00°
Space group Pm-3m (No. 221)
Inequivalent atoms, fractional coordinates:
Li  0.000  0.000  0.000
Cd  0.000  0.000  0.500
I  0.500  0.500  0.500

Output
Spin magnetization in μB per cell: 0.00
Polymorph energy (0 for the lowest one) in meV per atom: 0.0
Uncorrected formation energy in eV per atom: 0.039
DOS(E_F) in states/eV per cell: 1.035

=====

No. 2
The following is a DFT calculation (PBE) of a geometry-optimized LiCd2I5 structure.

Cell: 14.538 8.063 7.285 Å, 90.00 119.89 90.00°
Space group Cm (No. 8)
Inequivalent atoms, fractional coordinates:
Li  0.000  0.000  0.000
Cd  0.058  0.000  0.592
Cd  0.449  0.000  0.987
I  0.082  0.247  0.317
I  0.252  0.000  0.991
I  0.422  0.257  0.672

Output
Spin magnetization in μB per cell: 0.00
Uncorrected formation energy in eV per atom: -0.634

=====

No. 3
The following is a DFT calculation (PBE) of a geometry-optimized Li6CdI8 structure.

Cell: 12.101 12.101 12.101 Å, 90.00 90.00 90.00°
Space group Fm-3m (No. 225)
Inequivalent atoms, fractional coordinates:
Li  0.000  0.250  0.250
Cd  0.000  0.000  0.000
I  0.000  0.000  0.249
I  0.250  0.250  0.250

Output
Spin magnetization in μB per cell: 0.00
Uncorrected formation energy in eV per atom: -1.054
DOS(E_F) in states/eV per cell: 0.000